The following is a DFT calculation (PBE with a Hubbard U) of UTl2VO6 after structural relaxation.

abc: 5.880 5.880 5.898
angles: 119.90 119.90 90.00
Fractional coordinates of all 10 atoms:
1 O 0.721 0.221 0.441
2 O 0.245 0.255 0.000
3 O 0.245 0.745 0.000
4 O 0.755 0.255 0.000
5 O 0.755 0.745 0.000
6 O 0.279 0.779 0.559
7 U 0.000 0.500 0.000
8 Tl 0.250 0.250 0.500
9 Tl 0.750 0.750 0.500
10 V 0.500 0.000 0.000

Properties
The energy comes out at -7.3297 eV/atom. The value obtained for the size of the total moment is 0.933 μB/f.u.